i:
CaZrZn3, optimized geometry, DFT GGA-PBE; density of states at the Fermi level = 1.9 states/eV per cell; M_tot = 0.0 μB/f.u.; V = 24.29 A^3/atom; crystal system = cubic; symmetry = Pm-3m, No. 221
1.0
-0.675 -3.710 3.210
-0.533 -3.166 -3.771
4.877 -0.859 0.032
Zn Ca Zr
3 1 1
direct
0.000 0.500 0.000
0.000 0.000 0.500
0.500 0.000 0.000
0.000 0.000 0.000
0.500 0.500 0.500


ii:
CaZrZn3, optimized geometry, DFT GGA-PBE; density of states at the Fermi level = 5.9 states/eV per cell; M_tot = 1.5 μB/f.u.; V = 28.04 A^3/atom; crystal system = cubic; symmetry = Pm-3m, No. 221
1.0
-2.604 0.174 4.492
-0.558 -5.164 -0.124
4.460 -0.545 2.607
Zn Ca Zr
3 1 1
direct
0.000 0.500 0.000
0.000 0.000 0.500
0.500 0.000 0.000
0.500 0.500 0.500
0.000 0.000 0.000


The structure with the least stability is i.


i:
CaZrZn, optimized geometry, DFT GGA-PBE; density of states at the Fermi level = 3.5 states/eV per cell; M_tot = 0.0 μB/f.u.; V = 26.47 A^3/atom; crystal system = cubic; symmetry = F-43m, No. 216
1.0
-4.171 1.685 1.746
-3.906 -2.832 0.069
-1.703 -1.658 4.199
Zn Ca Zr
1 1 1
direct
0.250 0.250 0.250
0.500 0.500 0.500
0.000 0.000 0.000


ii:
CaZrZn, optimized geometry, DFT GGA-PBE; density of states at the Fermi level = 6.4 states/eV per cell; M_tot = 0.0 μB/f.u.; V = 25.27 A^3/atom; crystal system = tetragonal; symmetry = I4/mmm, No. 139
1.0
-0.934 -2.844 -1.741
-0.308 -1.727 2.985
-11.503 5.791 0.155
Zr Zn Ca
2 2 2
direct
0.289 0.289 0.578
0.711 0.711 0.422
0.150 0.150 0.300
0.850 0.850 0.700
0.571 0.571 0.142
0.429 0.429 0.858


The structure with the least stability is i.